Record 1
Here is Zr3Nb after structural relaxation from Alexandria. Energies are from PBE.

The structure in CIF format:
```
data_Zr3Nb
_symmetry_space_group_name_H-M 'P 1'
_symmetry_Int_Tables_number 1
_symmetry_space_group_name_Hall 'P 1'
_cell_length_a 4.952
_cell_length_b 4.952
_cell_length_c 4.952
_cell_angle_alpha 60.00
_cell_angle_beta 60.00
_cell_angle_gamma 60.00
loop_
_atom_site_label
_atom_site_fract_x
_atom_site_fract_y
_atom_site_fract_z
Zr1 0.250 0.250 0.250
Zr2 0.000 0.000 0.000
Zr3 0.750 0.750 0.750
Nb1 0.500 0.500 0.500
```

electronic total energy = -35.312 eV for the cell shown
space group = No. 225
volume = 21.5 A^3/atom

***

Record 2
Here is RbPOF2 after structural relaxation from Alexandria. Energies are from PBE.

The structure in CIF format:
```
data_RbPOF2
_symmetry_space_group_name_H-M 'P 1'
_symmetry_Int_Tables_number 1
_symmetry_space_group_name_Hall 'P 1'
_cell_length_a 4.525
_cell_length_b 4.525
_cell_length_c 3.596
_cell_angle_alpha 90.00
_cell_angle_beta 90.00
_cell_angle_gamma 90.00
loop_
_atom_site_label
_atom_site_fract_x
_atom_site_fract_y
_atom_site_fract_z
O1 0.000 0.000 0.500
F1 0.000 0.500 0.000
F2 0.500 0.000 0.000
P1 0.000 0.000 0.000
Rb1 0.500 0.500 0.500
```

formation energy (no corrections) = -1.7375 eV/atom
energy above the most stable polymorph in this dataset = 0.0000 eV per atom
electronic total energy = -23.766 eV for the cell shown
space group = No. 123
volume = 14.7 A^3/atom

***

Record 3
Here is TlSbN after structural relaxation from Alexandria. Energies are from PBE.

The structure in CIF format:
```
data_TlSbN
_symmetry_space_group_name_H-M 'P 1'
_symmetry_Int_Tables_number 1
_symmetry_space_group_name_Hall 'P 1'
_cell_length_a 5.757
_cell_length_b 3.498
_cell_length_c 8.658
_cell_angle_alpha 89.88
_cell_angle_beta 116.16
_cell_angle_gamma 107.69
loop_
_atom_site_label
_atom_site_fract_x
_atom_site_fract_y
_atom_site_fract_z
Tl1 0.576 0.355 0.433
Tl2 0.728 0.933 0.133
Sb1 0.256 0.194 0.641
N1 0.435 0.286 0.127
Sb2 0.048 0.093 0.925
N2 0.868 0.001 0.439
```

formation energy (no corrections) = 0.5704 eV/atom
electronic total energy = -26.206 eV for the cell shown
space group = No. 2
volume = 24.5 A^3/atom

***

Record 4
Here is ZrTeP2 after structural relaxation from Alexandria. Energies are from PBE.

The structure in CIF format:
```
data_ZrTeP2
_symmetry_space_group_name_H-M 'P 1'
_symmetry_Int_Tables_number 1
_symmetry_space_group_name_Hall 'P 1'
_cell_length_a 5.211
_cell_length_b 5.211
_cell_length_c 5.211
_cell_angle_alpha 137.83
_cell_angle_beta 124.82
_cell_angle_gamma 71.80
loop_
_atom_site_label
_atom_site_fract_x
_atom_site_fract_y
_atom_site_fract_z
P1 0.978 0.978 0.000
Zr1 0.250 0.750 0.500
P2 0.522 0.522 0.000
Te1 0.750 0.250 0.500
```

formation energy (no corrections) = -0.0337 eV/atom
energy above the most stable polymorph in this dataset = 0.5532 eV per atom
electronic total energy = -22.644 eV for the cell shown
space group = No. 71
volume = 19.1 A^3/atom

***

Record 5
Here is LaSb2PN after structural relaxation from Alexandria. Energies are from PBE.

The structure in CIF format:
```
data_LaSb2PN
_symmetry_space_group_name_H-M 'P 1'
_symmetry_Int_Tables_number 1
_symmetry_space_group_name_Hall 'P 1'
_cell_length_a 6.246
_cell_length_b 4.020
_cell_length_c 6.246
_cell_angle_alpha 90.00
_cell_angle_beta 90.00
_cell_angle_gamma 90.00
loop_
_atom_site_label
_atom_site_fract_x
_atom_site_fract_y
_atom_site_fract_z
Sb1 0.000 0.000 0.500
P1 0.500 0.500 0.500
N1 0.000 0.500 0.000
Sb2 0.500 0.000 0.000
La1 0.000 0.000 0.000
```

formation energy (no corrections) = 1.0017 eV/atom
electronic total energy = -21.899 eV for the cell shown
space group = No. 123
volume = 31.4 A^3/atom

***

Record 6
Here is InAgBr4 after structural relaxation from Alexandria. Energies are from PBE.

The structure in CIF format:
```
data_InAgBr4
_symmetry_space_group_name_H-M 'P 1'
_symmetry_Int_Tables_number 1
_symmetry_space_group_name_Hall 'P 1'
_cell_length_a 6.496
_cell_length_b 6.496
_cell_length_c 6.496
_cell_angle_alpha 60.00
_cell_angle_beta 60.00
_cell_angle_gamma 60.00
loop_
_atom_site_label
_atom_site_fract_x
_atom_site_fract_y
_atom_site_fract_z
Br1 0.876 0.375 0.375
Br2 0.375 0.876 0.375
Br3 0.375 0.375 0.375
In1 0.750 0.750 0.750
Br4 0.375 0.375 0.876
Ag1 0.000 0.000 0.000
```

formation energy (no corrections) = 0.3223 eV/atom
energy above the most stable polymorph in this dataset = 0.9826 eV per atom
electronic total energy = -10.348 eV for the cell shown
space group = No. 216
volume = 32.3 A^3/atom

***

Record 7
Here is Zr2InPd3 after structural relaxation from Alexandria. Energies are from PBE.

The structure in CIF format:
```
data_Zr2InPd3
_symmetry_space_group_name_H-M 'P 1'
_symmetry_Int_Tables_number 1
_symmetry_space_group_name_Hall 'P 1'
_cell_length_a 5.587
_cell_length_b 6.711
_cell_length_c 6.711
_cell_angle_alpha 105.11
_cell_angle_beta 90.00
_cell_angle_gamma 90.00
loop_
_atom_site_label
_atom_site_fract_x
_atom_site_fract_y
_atom_site_fract_z
Zr1 0.220 0.865 0.525
Zr2 0.720 0.475 0.135
Pd1 0.470 0.164 0.836
Pd2 0.470 0.500 0.500
Pd3 0.970 0.164 0.836
Pd4 0.970 0.500 0.500
Pd5 0.470 0.836 0.164
In1 0.220 0.210 0.210
Zr3 0.220 0.525 0.865
Pd6 0.970 0.836 0.164
In2 0.720 0.790 0.790
Zr4 0.720 0.135 0.475
```

electronic total energy = -75.823 eV for the cell shown
space group = No. 63
volume = 20.2 A^3/atom

***

Record 8
Here is Ba2NpHgTe5 after structural relaxation from Alexandria. Energies are from PBE.

The structure in CIF format:
```
data_Ba2NpHgTe5
_symmetry_space_group_name_H-M 'P 1'
_symmetry_Int_Tables_number 1
_symmetry_space_group_name_Hall 'P 1'
_cell_length_a 4.632
_cell_length_b 10.421
_cell_length_c 14.194
_cell_angle_alpha 90.00
_cell_angle_beta 90.00
_cell_angle_gamma 102.84
loop_
_atom_site_label
_atom_site_fract_x
_atom_site_fract_y
_atom_site_fract_z
Np1 0.797 0.594 0.515
Np2 0.203 0.406 0.015
Te1 0.696 0.393 0.867
Te2 0.497 0.993 0.764
Te3 0.055 0.109 0.061
Te4 0.708 0.416 0.158
Te5 0.292 0.584 0.658
Te6 0.304 0.607 0.367
Ba1 0.873 0.747 0.818
Ba2 0.127 0.253 0.318
Te7 0.503 0.007 0.264
Te8 0.648 0.296 0.507
Ba3 0.884 0.767 0.190
Ba4 0.116 0.233 0.690
Te9 0.352 0.704 0.007
Hg1 0.449 0.899 0.443
Hg2 0.551 0.101 0.943
Te10 0.945 0.891 0.561
```

formation energy (no corrections) = -1.0304 eV/atom
electronic total energy = -84.140 eV for the cell shown
space group = No. 36
volume = 37.1 A^3/atom

***

Record 9
Here is La2PC after structural relaxation from Alexandria. Energies are from PBE.

The structure in CIF format:
```
data_La2PC
_symmetry_space_group_name_H-M 'P 1'
_symmetry_Int_Tables_number 1
_symmetry_space_group_name_Hall 'P 1'
_cell_length_a 7.157
_cell_length_b 7.157
_cell_length_c 6.358
_cell_angle_alpha 55.75
_cell_angle_beta 55.75
_cell_angle_gamma 90.00
loop_
_atom_site_label
_atom_site_fract_x
_atom_site_fract_y
_atom_site_fract_z
P1 0.750 0.250 0.500
C1 0.250 0.750 0.500
La1 0.375 0.424 0.750
La2 0.174 0.625 0.250
La3 0.875 0.826 0.750
La4 0.576 0.125 0.250
C2 0.500 0.500 0.000
P2 0.000 0.000 0.000
```

energy above the most stable polymorph in this dataset = 0.4478 eV per atom
electronic total energy = -52.411 eV for the cell shown
space group = No. 122
volume = 24.6 A^3/atom

***

Record 10
Here is SmTmInIr after structural relaxation from Alexandria. Energies are from PBE.

The structure in CIF format:
```
data_SmTmInIr
_symmetry_space_group_name_H-M 'P 1'
_symmetry_Int_Tables_number 1
_symmetry_space_group_name_Hall 'P 1'
_cell_length_a 5.098
_cell_length_b 5.098
_cell_length_c 5.098
_cell_angle_alpha 60.00
_cell_angle_beta 60.00
_cell_angle_gamma 60.00
loop_
_atom_site_label
_atom_site_fract_x
_atom_site_fract_y
_atom_site_fract_z
In1 0.500 0.500 0.500
Sm1 0.250 0.250 0.250
Ir1 0.000 0.000 0.000
Tm1 0.750 0.750 0.750
```

electronic total energy = -22.862 eV for the cell shown
space group = No. 216
volume = 23.4 A^3/atom